No. 1
DFT (PBE) results for a relaxed TlAgAs crystal.

Lattice parameters (Å, degrees): 4.7747 4.7747 4.7747 60.00 60.00 60.00
Element x y z (fractional)
Tl 0.0000 0.0000 0.0000
Ag 0.5000 0.5000 0.5000
As 0.7500 0.7500 0.7500

Results
E above lowest polymorph (meV/atom): 147
Magnetic moment (μB per formula unit): 0.0
ΔH_f (0 K) (eV/atom): 0.2191
Total DFT energy (no corrections) (eV/atom): -3.0699



No. 2
DFT (PBE) results for a relaxed Mg2CrOs crystal.

Lattice parameters (Å, degrees): 2.7479 4.5583 5.1098 90.00 99.17 90.00
Element x y z (fractional)
Mg 0.2495 0.0000 0.2457
Mg 0.7505 0.0000 0.7543
Cr 0.0000 0.5000 0.5000
Os 0.5000 0.5000 0.0000

Results
E above lowest polymorph (meV/atom): 280
Magnetic moment (μB per formula unit): 2.7
ΔH_f (0 K) (eV/atom): 0.3651
Total DFT energy (no corrections) (eV/atom): -5.6455



No. 3
DFT (PBE) results for a relaxed Tb4Cd2In5 crystal.

Lattice parameters (Å, degrees): 8.4080 3.6256 9.6816 90.00 91.25 90.00
Element x y z (fractional)
Tb 0.2261 0.0000 0.1337
Tb 0.2540 0.0000 0.6265
Tb 0.7460 0.0000 0.3735
Tb 0.7739 0.0000 0.8663
Cd 0.0825 0.5000 0.3776
Cd 0.9175 0.5000 0.6224
In 0.1135 0.5000 0.8767
In 0.4298 0.5000 0.3560
In 0.5000 0.5000 0.0000
In 0.5702 0.5000 0.6440
In 0.8865 0.5000 0.1233

Results
Magnetic moment (μB per formula unit): 0.0
ΔH_f (0 K) (eV/atom): -0.3675
Total DFT energy (no corrections) (eV/atom): -3.4624



No. 4
DFT (PBE) results for a relaxed CrHg2As crystal.

Lattice parameters (Å, degrees): 3.8571 3.8571 5.6092 90.00 90.00 90.00
Element x y z (fractional)
Cr 0.0000 0.0000 0.0000
Hg 0.5000 0.5000 0.2489
Hg 0.5000 0.5000 0.7511
As 0.0000 0.0000 0.5000

Results
Magnetic moment (μB per formula unit): 4.2
ΔH_f (0 K) (eV/atom): 0.4005
Total DFT energy (no corrections) (eV/atom): -3.3186



No. 5
DFT (PBE) results for a relaxed Cs3Y2ScSe6 crystal.

Lattice parameters (Å, degrees): 7.2846 7.2846 8.6889 98.04 98.04 119.99
Element x y z (fractional)
Cs 0.0000 0.0000 0.0000
Cs 0.3306 0.6694 0.0000
Cs 0.6694 0.3306 0.0000
Y 0.1664 0.8336 0.5000
Y 0.8336 0.1664 0.5000
Sc 0.5000 0.5000 0.5000
Se 0.1178 0.4392 0.3177
Se 0.2397 0.2397 0.6836
Se 0.4392 0.1178 0.3177
Se 0.5608 0.8822 0.6823
Se 0.7603 0.7603 0.3164
Se 0.8822 0.5608 0.6823

Results
Magnetic moment (μB per formula unit): 0.0
Uncorrected formation energy (eV/atom): -1.68
Total DFT energy (no corrections) (eV/atom): -5.2363



No. 6
DFT (PBE) results for a relaxed Sr2Ga2Ru crystal.

Lattice parameters (Å, degrees): 6.9291 6.9291 5.1098 90.00 90.00 90.00
Element x y z (fractional)
Sr 0.1808 0.3192 0.0000
Sr 0.3192 0.8192 0.0000
Sr 0.6808 0.1808 0.0000
Sr 0.8192 0.6808 0.0000
Ga 0.1426 0.6426 0.5000
Ga 0.3574 0.1426 0.5000
Ga 0.6426 0.8574 0.5000
Ga 0.8574 0.3574 0.5000
Ru 0.0000 0.0000 0.5000
Ru 0.5000 0.5000 0.5000

Results
E above lowest polymorph (meV/atom): 241
Magnetic moment (μB per formula unit): 0.0
ΔH_f (0 K) (eV/atom): -0.0649
Total DFT energy (no corrections) (eV/atom): -3.8035



No. 7
DFT (PBE) results for a relaxed AcBi4Pb crystal.

Lattice parameters (Å, degrees): 6.6286 6.6286 6.6286 60.00 60.00 60.00
Element x y z (fractional)
Ac 0.0000 0.0000 0.0000
Bi 0.1259 0.6247 0.6247
Bi 0.6247 0.1259 0.6247
Bi 0.6247 0.6247 0.1259
Bi 0.6247 0.6247 0.6247
Pb 0.2500 0.2500 0.2500

Results
E above lowest polymorph (meV/atom): 109
Magnetic moment (μB per formula unit): 0.0
ΔH_f (0 K) (eV/atom): -0.1592
Total DFT energy (no corrections) (eV/atom): -4.0493



No. 8
DFT (PBE) results for a relaxed HfNiSCl2 crystal.

Lattice parameters (Å, degrees): 4.9335 4.9335 4.9306 90.00 90.00 90.00
Element x y z (fractional)
Hf 0.0000 0.0000 0.0000
Ni 0.5000 0.5000 0.5000
S 0.0000 0.0000 0.5000
Cl 0.0000 0.5000 0.0000
Cl 0.5000 0.0000 0.0000

Results
E above lowest polymorph (meV/atom): 0
Magnetic moment (μB per formula unit): 0.9
Uncorrected formation energy (eV/atom): -0.33
Total DFT energy (no corrections) (eV/atom): -5.0437



No. 9
DFT (PBE) results for a relaxed TaSi2Mo crystal.

Lattice parameters (Å, degrees): 3.3285 3.9327 4.6289 90.00 90.00 90.00
Element x y z (fractional)
Ta 0.0000 0.0000 0.0000
Si 0.0000 0.5000 0.5000
Si 0.5000 0.5000 0.0000
Mo 0.5000 0.0000 0.5000

Results
E above lowest polymorph (meV/atom): 233
Magnetic moment (μB per formula unit): 0.0
Uncorrected formation energy (eV/atom): -0.15
Total DFT energy (no corrections) (eV/atom): -8.5367



No. 10
DFT (PBE) results for a relaxed La6OsPt2 crystal.

Lattice parameters (Å, degrees): 7.0058 7.5921 12.2887 90.00 119.80 90.00
Element x y z (fractional)
La 0.0838 0.0544 0.2472
La 0.0838 0.4456 0.7472
La 0.2520 0.6835 0.0801
La 0.2520 0.8165 0.5801
La 0.3878 0.1824 0.0658
La 0.3878 0.3176 0.5658
La 0.6122 0.6824 0.4342
La 0.6122 0.8176 0.9342
La 0.7480 0.1835 0.4199
La 0.7480 0.3165 0.9199
La 0.9162 0.5544 0.2528
La 0.9162 0.9456 0.7528
Os 0.0000 0.0000 0.0000
Os 0.0000 0.5000 0.5000
Pt 0.3291 0.1113 0.7776
Pt 0.3291 0.3887 0.2776
Pt 0.6709 0.6113 0.7224
Pt 0.6709 0.8887 0.2224

Results
Magnetic moment (μB per formula unit): 0.0
ΔH_f (0 K) (eV/atom): -0.6152
Total DFT energy (no corrections) (eV/atom): -6.4903



No. 11
DFT (PBE) results for a relaxed EuThGa2 crystal.

Lattice parameters (Å, degrees): 9.5649 9.5649 9.5649 22.33 22.33 22.33
Element x y z (fractional)
Eu 0.0000 0.0000 0.0000
Th 0.5000 0.5000 0.5000
Ga 0.2499 0.2499 0.2499
Ga 0.7501 0.7501 0.7501

Results
E above lowest polymorph (meV/atom): 201
Magnetic moment (μB per formula unit): 7.2
ΔH_f (0 K) (eV/atom): -0.2352
Total DFT energy (no corrections) (eV/atom): -6.1722



No. 12
DFT (PBE) results for a relaxed Ga2FeHg crystal.

Lattice parameters (Å, degrees): 5.9531 5.9531 5.9531 101.46 101.46 127.07
Element x y z (fractional)
Ga 0.0616 0.1250 0.4366
Ga 0.3750 0.9384 0.0634
Ga 0.6884 0.6250 0.5634
Ga 0.8750 0.3116 0.9366
Fe 0.0000 0.0000 0.0000
Fe 0.7500 0.2500 0.5000
Hg 0.2500 0.7500 0.5000
Hg 0.5000 0.5000 0.0000

Results
Magnetic moment (μB per formula unit): 1.8
ΔH_f (0 K) (eV/atom): 0.3543
Total DFT energy (no corrections) (eV/atom): -3.3502